A geometry-optimized KLaY2 structure. Source: the Alexandria database, functional PBE.

a = 6.723 Å, b = 6.723 Å, c = 3.615 Å
α = 90.00°, β = 90.00°, γ = 112.10°
Fractional positions:
1 K 0.500 0.000 0.500
2 Y 0.500 0.500 0.000
3 Y 0.000 0.000 0.000
4 La 0.000 0.500 0.500

Formation energy from the elements, meV per atom: 434
Distance to the lowest polymorph of the same formula, eV per atom: 0.2466
SG: Cmmm, No. 65

=====

A geometry-optimized BaPC3 structure. Source: the Alexandria database, functional PBE.

a = 3.970 Å, b = 3.970 Å, c = 3.970 Å
α = 90.00°, β = 90.00°, γ = 90.00°
Fractional positions:
1 Ba 0.500 0.500 0.500
2 P 0.000 0.000 0.000
3 C 0.500 0.000 0.000
4 C 0.000 0.500 0.000
5 C 0.000 0.000 0.500

Formation energy from the elements, meV per atom: 1695
Distance to the lowest polymorph of the same formula, eV per atom: 0.0000
SG: Pm-3m, No. 221

=====

A geometry-optimized ZrScCu structure. Source: the Alexandria database, functional PBE.

a = 6.314 Å, b = 6.399 Å, c = 6.470 Å
α = 89.96°, β = 90.00°, γ = 90.00°
Fractional positions:
1 Sc 0.250 0.000 0.441
2 Sc 0.250 0.000 0.941
3 Sc 0.750 0.000 0.559
4 Sc 0.750 0.000 0.059
5 Cu 0.000 0.256 0.250
6 Cu 0.000 0.744 0.750
7 Cu 0.500 0.744 0.250
8 Cu 0.500 0.256 0.750
9 Zr 0.250 0.500 0.534
10 Zr 0.750 0.500 0.466
11 Zr 0.250 0.500 0.034
12 Zr 0.750 0.500 0.966

Formation energy from the elements, meV per atom: 163
Distance to the lowest polymorph of the same formula, eV per atom: 0.3150
SG: Pcca, No. 54

=====

A geometry-optimized LiLaCdSn2 structure. Source: the Alexandria database, functional PBE.

a = 4.540 Å, b = 4.540 Å, c = 7.074 Å
α = 108.72°, β = 108.72°, γ = 90.00°
Fractional positions:
1 Cd 0.250 0.750 0.500
2 Li 0.750 0.250 0.500
3 Sn 0.387 0.387 0.775
4 Sn 0.613 0.613 0.225
5 La 0.000 0.000 0.000

Formation energy from the elements, meV per atom: -490
SG: I-4m2, No. 119

=====

A geometry-optimized Cd2In7Ga2 structure. Source: the Alexandria database, functional PBE.

a = 6.794 Å, b = 6.579 Å, c = 6.794 Å
α = 89.97°, β = 94.85°, γ = 90.03°
Fractional positions:
1 In 0.500 0.276 0.500
2 In 0.500 0.740 0.000
3 In 0.000 0.740 0.500
4 In 0.500 0.260 0.000
5 In 0.000 0.260 0.500
6 In 0.000 0.000 0.000
7 In 0.500 0.724 0.500
8 Ga 0.718 0.000 0.282
9 Ga 0.282 0.000 0.718
10 Cd 0.841 0.500 0.841
11 Cd 0.159 0.500 0.159

Formation energy from the elements, meV per atom: 84
Distance to the lowest polymorph of the same formula, eV per atom: 0.0350
SG: Cmmm, No. 65

=====

A geometry-optimized Hf3MnSb structure. Source: the Alexandria database, functional PBE.

a = 4.672 Å, b = 6.859 Å, c = 7.471 Å
α = 117.32°, β = 90.00°, γ = 90.00°
Fractional positions:
1 Mn 0.500 0.899 0.798
2 Mn 0.500 0.101 0.202
3 Sb 0.000 0.643 0.286
4 Sb 0.000 0.357 0.714
5 Hf 0.500 0.702 0.000
6 Hf 0.500 0.000 0.500
7 Hf 0.500 0.298 0.000
8 Hf 0.000 0.127 0.255
9 Hf 0.500 0.500 0.500
10 Hf 0.000 0.873 0.745

Distance to the lowest polymorph of the same formula, eV per atom: 0.0000
SG: Cmmm, No. 65

=====

A geometry-optimized BaLaAs2 structure. Source: the Alexandria database, functional PBE.

a = 8.032 Å, b = 8.032 Å, c = 8.032 Å
α = 32.63°, β = 32.63°, γ = 32.63°
Fractional positions:
1 La 0.750 0.750 0.750
2 As 0.490 0.490 0.490
3 As 0.010 0.010 0.010
4 Ba 0.250 0.250 0.250

Formation energy from the elements, meV per atom: -1171
Distance to the lowest polymorph of the same formula, eV per atom: 0.0000
SG: R-3m, No. 166

=====

A geometry-optimized Tc2AsBr structure. Source: the Alexandria database, functional PBE.

a = 4.942 Å, b = 4.942 Å, c = 4.942 Å
α = 132.16°, β = 132.16°, γ = 69.97°
Fractional positions:
1 Tc 0.250 0.750 0.500
2 Tc 0.000 0.000 0.000
3 As 0.500 0.500 0.000
4 Br 0.750 0.250 0.500

Distance to the lowest polymorph of the same formula, eV per atom: 0.7595
SG: I-4m2, No. 119

=====

A geometry-optimized Zr4IrW structure. Source: the Alexandria database, functional PBE.

a = 5.531 Å, b = 5.531 Å, c = 5.531 Å
α = 60.00°, β = 60.00°, γ = 60.00°
Fractional positions:
1 Zr 0.375 0.875 0.375
2 Zr 0.375 0.375 0.375
3 Zr 0.875 0.375 0.375
4 Zr 0.375 0.375 0.875
5 W 0.000 0.000 0.000
6 Ir 0.750 0.750 0.750

Formation energy from the elements, meV per atom: 599
SG: F-43m, No. 216

=====

A geometry-optimized Y2Ho2Er7 structure. Source: the Alexandria database, functional PBE.

a = 6.004 Å, b = 8.519 Å, c = 8.519 Å
α = 83.75°, β = 63.71°, γ = 63.71°
Fractional positions:
1 Er 0.827 0.410 0.939
2 Er 0.827 0.939 0.410
3 Er 0.625 0.590 0.590
4 Er 0.375 0.410 0.410
5 Er 0.000 0.000 0.000
6 Er 0.173 0.590 0.061
7 Er 0.173 0.061 0.590
8 Ho 0.885 0.766 0.766
9 Ho 0.115 0.234 0.234
10 Y 0.500 0.785 0.215
11 Y 0.500 0.215 0.785

Formation energy from the elements, meV per atom: 166
SG: C2/m, No. 12

=====

A geometry-optimized ZrAlNF2 structure. Source: the Alexandria database, functional PBE.

a = 3.712 Å, b = 3.712 Å, c = 4.058 Å
α = 90.00°, β = 90.00°, γ = 90.00°
Site moments in Bohr magnetons follow the coordinates.
Fractional positions:
1 Al 0.000 0.000 0.000  0.00
2 F 0.000 0.500 0.000  0.03
3 F 0.500 0.000 0.000  0.03
4 N 0.000 0.000 0.500  -0.02
5 Zr 0.500 0.500 0.500  0.92

Distance to the lowest polymorph of the same formula, eV per atom: 0.0591
SG: P4/mmm, No. 123

=====

A geometry-optimized Na2TlO2 structure. Source: the Alexandria database, functional PBE.

a = 6.857 Å, b = 6.347 Å, c = 6.347 Å
α = 57.68°, β = 57.30°, γ = 57.30°
Fractional positions:
1 O 0.597 0.174 0.631
2 O 0.097 0.631 0.174
3 O 0.403 0.826 0.369
4 O 0.903 0.369 0.826
5 Tl 0.750 0.500 0.500
6 Tl 0.250 0.500 0.500
7 Na 0.654 0.747 0.944
8 Na 0.154 0.944 0.747
9 Na 0.346 0.253 0.056
10 Na 0.846 0.056 0.253

Distance to the lowest polymorph of the same formula, eV per atom: 0.0524
SG: Ibam, No. 72

=====

A geometry-optimized TePb4Cl structure. Source: the Alexandria database, functional PBE.

a = 6.500 Å, b = 6.500 Å, c = 6.500 Å
α = 60.00°, β = 60.00°, γ = 60.00°
Fractional positions:
1 Pb 0.875 0.375 0.375
2 Pb 0.375 0.375 0.375
3 Pb 0.375 0.875 0.375
4 Pb 0.375 0.375 0.875
5 Cl 0.000 0.000 0.000
6 Te 0.750 0.750 0.750

SG: F-43m, No. 216
Electronic total energy, eV per atom: -3.2547

=====

A geometry-optimized NpIr4Pb structure. Source: the Alexandria database, functional PBE.

a = 5.354 Å, b = 5.354 Å, c = 5.354 Å
α = 60.00°, β = 60.00°, γ = 60.00°
Site moments in Bohr magnetons follow the coordinates.
Fractional positions:
1 Ir 0.625 0.625 0.124  -0.24
2 Ir 0.124 0.625 0.625  -0.24
3 Ir 0.625 0.625 0.625  -0.24
4 Ir 0.625 0.124 0.625  -0.24
5 Np 0.250 0.250 0.250  3.32
6 Pb 0.000 0.000 0.000  0.02

Formation energy from the elements, meV per atom: -138
SG: F-43m, No. 216

=====

A geometry-optimized CsCoAgCl4 structure. Source: the Alexandria database, functional PBE.

a = 6.196 Å, b = 7.401 Å, c = 9.627 Å
α = 90.00°, β = 109.43°, γ = 90.00°
Site moments in Bohr magnetons follow the coordinates.
Fractional positions:
1 Cl 0.063 0.493 0.708  0.09
2 Cl 0.063 0.007 0.708  0.09
3 Cl 0.463 0.750 0.516  0.08
4 Cl 0.280 0.750 0.104  0.08
5 Cl 0.537 0.250 0.484  0.08
6 Cl 0.937 0.993 0.292  0.09
7 Cl 0.937 0.507 0.292  0.09
8 Cl 0.720 0.250 0.896  0.08
9 Co 0.169 0.750 0.304  2.40
10 Co 0.831 0.250 0.696  2.40
11 Ag 0.860 0.750 0.488  0.04
12 Ag 0.140 0.250 0.512  0.04
13 Cs 0.327 0.250 0.104  0.00
14 Cs 0.673 0.750 0.896  0.00

SG: P2_1/m, No. 11
Electronic total energy, eV per atom: -3.5595

=====

A geometry-optimized CaZn2Ag6 structure. Source: the Alexandria database, functional PBE.

a = 8.402 Å, b = 8.402 Å, c = 8.402 Å
α = 60.00°, β = 60.00°, γ = 60.00°
Fractional positions:
1 Ag 0.501 0.999 0.999
2 Ag 0.999 0.501 0.999
3 Ag 0.251 0.251 0.749
4 Ag 0.749 0.251 0.251
5 Ag 0.749 0.251 0.749
6 Ag 0.999 0.501 0.501
7 Ag 0.501 0.999 0.501
8 Ag 0.251 0.749 0.749
9 Ag 0.749 0.749 0.251
10 Ag 0.501 0.501 0.999
11 Ag 0.251 0.749 0.251
12 Ag 0.999 0.999 0.501
13 Ca 0.750 0.750 0.750
14 Ca 0.500 0.500 0.500
15 Zn 0.125 0.125 0.625
16 Zn 0.125 0.625 0.125
17 Zn 0.125 0.125 0.125
18 Zn 0.625 0.125 0.125

Formation energy from the elements, meV per atom: 196
SG: Fd-3m, No. 227

=====

A geometry-optimized K3CuPb3O8 structure. Source: the Alexandria database, functional PBE.

a = 6.663 Å, b = 6.938 Å, c = 7.417 Å
α = 118.07°, β = 90.00°, γ = 118.70°
Site moments in Bohr magnetons follow the coordinates.
Fractional positions:
1 K 0.000 0.000 0.000  0.00
2 K 0.500 0.500 0.000  0.00
3 K 0.000 0.500 0.000  0.00
4 O 0.268 0.536 0.710  0.01
5 O 0.264 0.528 0.298  0.01
6 O 0.732 0.464 0.290  0.01
7 O 0.811 0.059 0.342  0.11
8 O 0.736 0.472 0.702  0.01
9 O 0.249 0.059 0.342  0.11
10 O 0.189 0.941 0.658  0.11
11 O 0.751 0.941 0.658  0.11
12 Pb 0.500 0.000 0.500  0.03
13 Pb 0.500 0.500 0.500  0.00
14 Pb 0.000 0.500 0.500  0.00
15 Cu 0.000 0.000 0.500  0.54

SG: C2/m, No. 12
Electronic total energy, eV per atom: -4.9279

=====

A geometry-optimized TbSm2Y6 structure. Source: the Alexandria database, functional PBE.

a = 6.938 Å, b = 10.504 Å, c = 10.504 Å
α = 55.32°, β = 70.72°, γ = 70.72°
Fractional positions:
1 Y 0.010 0.658 0.322
2 Y 0.343 0.326 0.988
3 Y 0.510 0.322 0.658
4 Y 0.175 0.659 0.991
5 Y 0.675 0.991 0.659
6 Y 0.990 0.342 0.678
7 Y 0.843 0.988 0.326
8 Y 0.825 0.341 0.009
9 Y 0.490 0.678 0.342
10 Y 0.657 0.674 0.012
11 Y 0.325 0.009 0.341
12 Y 0.157 0.012 0.674
13 Tb 0.250 0.000 0.000
14 Tb 0.750 0.000 0.000
15 Sm 0.083 0.667 0.667
16 Sm 0.917 0.333 0.333
17 Sm 0.417 0.333 0.333
18 Sm 0.583 0.667 0.667

Formation energy from the elements, meV per atom: 69
Distance to the lowest polymorph of the same formula, eV per atom: 0.0000
SG: Ibam, No. 72

=====

A geometry-optimized Cs2RhAuN structure. Source: the Alexandria database, functional PBE.

a = 6.628 Å, b = 6.628 Å, c = 3.720 Å
α = 90.00°, β = 90.00°, γ = 90.00°
Fractional positions:
1 Cs 0.000 0.500 0.000
2 Cs 0.500 0.000 0.000
3 Rh 0.000 0.000 0.500
4 N 0.000 0.000 0.000
5 Au 0.500 0.500 0.500

SG: P4/mmm, No. 123
Electronic total energy, eV per atom: -4.0727

=====

A geometry-optimized SmCdBiPb structure. Source: the Alexandria database, functional PBE.

a = 5.517 Å, b = 5.517 Å, c = 5.517 Å
α = 60.00°, β = 60.00°, γ = 60.00°
Fractional positions:
1 Bi 0.250 0.250 0.250
2 Pb 0.000 0.000 0.000
3 Sm 0.500 0.500 0.500
4 Cd 0.750 0.750 0.750

Formation energy from the elements, meV per atom: -210
SG: F-43m, No. 216